No. 1
## LiCa2Au (meta-GGA SCAN)

Data for LiCa2Au at its PBEsol-relaxed geometry.

## Properties
Crystal system   trigonal
Calculated density   3.7 Mg/m³
DFT formation energy   -1.7 eV per formula unit

a = 4.081 Å, b = 4.081 Å, c = 26.188 Å
α = 90.00°, β = 90.00°, γ = 120.00°
Fractional positions:
Li 0.000 0.000 0.000
Li 0.333 0.667 0.667
Li 0.667 0.333 0.333
Ca 0.000 0.000 0.231
Ca 0.000 0.000 0.769
Ca 0.333 0.667 0.435
Ca 0.333 0.667 0.898
Ca 0.667 0.333 0.102
Ca 0.667 0.333 0.565
Au 0.000 0.000 0.500
Au 0.333 0.667 0.167
Au 0.667 0.333 0.833

No. 2
## TeSe2Cl (meta-GGA SCAN)

Data for TeSe2Cl at its PBEsol-relaxed geometry.

## Properties
Crystal system   cubic
Calculated density   6.4 Mg/m³
Formation energy from raw total energies   0.433 eV per atom
ΔE to the lowest computed polymorph   0.415 eV/atom

a = 6.944 Å, b = 6.944 Å, c = 6.944 Å
α = 90.00°, β = 90.00°, γ = 90.00°
Fractional positions:
Te 0.000 0.000 0.000
Te 0.000 0.500 0.500
Te 0.500 0.000 0.500
Te 0.500 0.500 0.000
Se 0.000 0.000 0.500
Se 0.000 0.500 0.000
Se 0.250 0.250 0.750
Se 0.250 0.750 0.250
Se 0.500 0.000 0.000
Se 0.500 0.500 0.500
Se 0.750 0.250 0.250
Se 0.750 0.750 0.750
Cl 0.250 0.250 0.250
Cl 0.250 0.750 0.750
Cl 0.750 0.250 0.750
Cl 0.750 0.750 0.250

No. 3
## AgSbTe2Pd (meta-GGA SCAN)

Data for AgSbTe2Pd at its PBEsol-relaxed geometry.

## Properties
Crystal system   tetragonal
Calculated density   6.8 Mg/m³
Formation energy from raw total energies   0.887 eV per atom

a = 5.307 Å, b = 5.307 Å, c = 5.147 Å
α = 90.00°, β = 90.00°, γ = 90.00°
Fractional positions:
Ag 0.000 0.000 0.000
Sb 0.000 0.000 0.500
Te 0.000 0.500 0.000
Te 0.500 0.000 0.000
Pd 0.500 0.500 0.500

No. 4
## Ca2ScCuMo (meta-GGA SCAN)

Data for Ca2ScCuMo at its PBEsol-relaxed geometry.

## Properties
Crystal system   tetragonal
Calculated density   3.5 Mg/m³
DFT formation energy   3.8 eV per formula unit

a = 5.255 Å, b = 5.255 Å, c = 4.920 Å
α = 90.00°, β = 90.00°, γ = 90.00°
Fractional positions:
Ca 0.000 0.500 0.000
Ca 0.500 0.000 0.000
Sc 0.000 0.000 0.500
Cu 0.000 0.000 0.000
Mo 0.500 0.500 0.500

No. 5
## HfScPCl2 (meta-GGA SCAN)

Data for HfScPCl2 at its PBEsol-relaxed geometry.

## Properties
Crystal system   tetragonal
Calculated density   4.7 Mg/m³
Formation energy from raw total energies   -0.768 eV per atom

a = 4.742 Å, b = 4.742 Å, c = 5.138 Å
α = 90.00°, β = 90.00°, γ = 90.00°
Fractional positions:
Hf 0.000 0.000 0.000
Sc 0.500 0.500 0.500
P 0.000 0.000 0.500
Cl 0.000 0.500 0.000
Cl 0.500 0.000 0.000

No. 6
## Zn2OsSe (meta-GGA SCAN)

Data for Zn2OsSe at its PBEsol-relaxed geometry.

## Properties
Crystal system   tetragonal
Calculated density   11.4 Mg/m³
Formation energy from raw total energies   0.489 eV per atom

a = 3.739 Å, b = 3.739 Å, c = 8.317 Å
α = 90.00°, β = 90.00°, γ = 90.00°
Fractional positions:
Zn 0.000 0.500 0.250
Zn 0.000 0.500 0.750
Zn 0.500 0.000 0.250
Zn 0.500 0.000 0.750
Os 0.000 0.000 0.000
Os 0.500 0.500 0.500
Se 0.000 0.000 0.500
Se 0.500 0.500 0.000

No. 7
## ScMoSe2 (meta-GGA SCAN)

Data for ScMoSe2 at its PBEsol-relaxed geometry.

## Properties
Crystal system   trigonal
Calculated density   6.1 Mg/m³
Formation energy from raw total energies   -0.243 eV per atom
ΔE to the lowest computed polymorph   0.429 eV/atom

a = 3.359 Å, b = 3.359 Å, c = 25.076 Å
α = 90.00°, β = 90.00°, γ = 120.00°
Fractional positions:
Sc 0.000 0.000 0.000
Sc 0.333 0.667 0.667
Sc 0.667 0.333 0.333
Mo 0.000 0.000 0.500
Mo 0.333 0.667 0.167
Mo 0.667 0.333 0.833
Se 0.000 0.000 0.403
Se 0.000 0.000 0.597
Se 0.333 0.667 0.070
Se 0.333 0.667 0.263
Se 0.667 0.333 0.737
Se 0.667 0.333 0.930

No. 8
## Co2PbBr (meta-GGA SCAN)

Data for Co2PbBr at its PBEsol-relaxed geometry.

## Properties
Crystal system   monoclinic
Calculated density   10.0 Mg/m³
Formation energy from raw total energies   0.518 eV per atom
ΔE to the lowest computed polymorph   0.180 eV/atom

a = 4.160 Å, b = 3.188 Å, c = 5.425 Å
α = 90.00°, β = 110.59°, γ = 90.00°
Fractional positions:
Co 0.000 0.000 0.000
Co 0.500 0.500 0.500
Pb 0.000 0.000 0.500
Br 0.500 0.500 0.000